First-principles (GGA-PBE) data for TbMgGa2Pd4 after structural relaxation, as listed in Alexandria via LeMat-Bulk.

Lattice parameters (Å, degrees): 8.4680 8.4680 8.4680 30.34 30.34 30.34
With the nearest neighbours (Å) after each atom.
Fractional coordinates of all 8 atoms:
Tb 0.0000 0.0000 0.0000  8 Pd 2.95-3.06
Mg 0.5000 0.5000 0.5000  8 Pd 2.58-2.74
Ga 0.2436 0.2436 0.2436  7 Pd 2.66-2.84
Ga 0.7564 0.7564 0.7564  7 Pd 2.66-2.84
Pd 0.1262 0.1262 0.1262  4 Ga 2.71-2.84, 3 Mg 2.74, 3 Pd 3.02
Pd 0.3936 0.3936 0.3936  1 Mg 2.58, 3 Ga 2.66
Pd 0.6064 0.6064 0.6064  1 Mg 2.58, 3 Ga 2.66
Pd 0.8738 0.8738 0.8738  4 Ga 2.71-2.84, 3 Mg 2.74, 3 Pd 3.02

Calculated values
The value obtained for the total magnetization is 0.0 μB per formula unit. The theoretical density comes out at 9.1 g/cm³. As for the space group: R-3m, No. 166. The energy of formation from the pure elements is -0.744 eV/atom.

First-principles (GGA-PBE) data for KOs2 after structural relaxation, as listed in Alexandria via LeMat-Bulk.

Lattice parameters (Å, degrees): 2.8051 2.8051 8.0802 90.00 90.00 120.00
With the nearest neighbours (Å) after each atom.
Fractional coordinates of all 3 atoms:
K 0.0000 0.0000 0.0000  6 K 2.81
Os 0.3333 0.6667 0.6258  9 Os 2.60-2.81
Os 0.6667 0.3333 0.3742  9 Os 2.60-2.81

Calculated values
The calculation puts the energy above the most stable polymorph in this dataset at 22.4 kJ/mol of atoms. The value obtained for the total magnetization is 0.0 μB per formula unit. The theoretical density comes out at 12.7 g/cm³. As for the space group: P-3m1, No. 164. The energy of formation from the pure elements is 1.009 eV/atom.

First-principles (GGA-PBE) data for Tb2Y2Tm5 after structural relaxation, as listed in Alexandria via LeMat-Bulk.

Lattice parameters (Å, degrees): 8.6225 8.6225 6.3110 104.92 104.92 38.63
With the nearest neighbours (Å) after each atom.
Fractional coordinates of all 9 atoms:
Tb 0.1013 0.1013 0.0096  5 Tm 3.19-3.50, 1 Tb 3.27, 2 Y 3.51
Tb 0.8987 0.8987 0.9904  5 Tm 3.19-3.50, 1 Tb 3.27, 2 Y 3.51
Y 0.4383 0.4383 0.7095  6 Tm 3.41-3.80, 2 Tb 3.51, 2 Y 3.67-3.73
Y 0.5617 0.5617 0.2905  6 Tm 3.41-3.80, 2 Tb 3.51, 2 Y 3.67-3.73
Tm 0.0000 0.0000 0.5000  2 Tb 3.19, 2 Tm 3.30, 4 Y 3.41
Tm 0.2087 0.2087 0.5721  7 Tm 3.30-3.64, 2 Tb 3.50-3.65, 1 Y 3.60
Tm 0.3191 0.3191 0.1429  3 Tb 3.38-3.41, 6 Tm 3.47-3.77, 2 Y 3.57-3.76
Tm 0.6809 0.6809 0.8571  3 Tb 3.38-3.41, 6 Tm 3.47-3.77, 2 Y 3.57-3.76
Tm 0.7913 0.7913 0.4279  7 Tm 3.30-3.64, 2 Tb 3.50-3.65, 1 Y 3.60

Calculated values
The calculation puts the energy above the most stable polymorph in this dataset at 0.0 kJ/mol of atoms. The value obtained for the total magnetization is 0.0 μB per formula unit. The theoretical density comes out at 7.9 g/cm³. As for the space group: C2/m, No. 12. The energy of formation from the pure elements is 0.122 eV/atom.

First-principles (GGA-PBE) data for Sn6Pd5 after structural relaxation, as listed in Alexandria via LeMat-Bulk.

Lattice parameters (Å, degrees): 6.5615 6.5615 7.4427 96.72 96.72 127.50
With the nearest neighbours (Å) after each atom.
Fractional coordinates of all 11 atoms:
Sn 0.0138 0.3872 0.2061  5 Pd 2.72-2.82
Sn 0.2072 0.2072 0.6991  5 Pd 2.79-2.81
Sn 0.3872 0.0138 0.2061  5 Pd 2.72-2.82
Sn 0.6128 0.9862 0.7939  5 Pd 2.72-2.82
Sn 0.7928 0.7928 0.3009  5 Pd 2.79-2.81
Sn 0.9862 0.6128 0.7939  5 Pd 2.72-2.82
Pd 0.0000 0.0000 0.0000  6 Sn 2.76-2.81
Pd 0.1920 0.8080 0.5000  6 Sn 2.74-2.80
Pd 0.3806 0.6194 0.0000  6 Sn 2.72-2.82, 1 Pd 2.81
Pd 0.6194 0.3806 0.0000  6 Sn 2.72-2.82, 1 Pd 2.81
Pd 0.8080 0.1920 0.5000  6 Sn 2.74-2.80

Calculated values
The value obtained for the total magnetization is 0.0 μB per formula unit. The theoretical density comes out at 8.4 g/cm³. As for the space group: C2/m, No. 12. The energy of formation from the pure elements is -0.346 eV/atom.

First-principles (GGA-PBE) data for BeZn2Ni2 after structural relaxation, as listed in Alexandria via LeMat-Bulk.

Lattice parameters (Å, degrees): 6.6831 6.6831 2.7663 90.00 90.00 90.00
With the nearest neighbours (Å) after each atom.
Fractional coordinates of all 10 atoms:
Be 0.0000 0.0000 0.0000  4 Zn 2.60, 2 Be 2.77, 8 Ni 2.85
Be 0.5000 0.5000 0.0000  4 Zn 2.60, 2 Be 2.77, 8 Ni 2.85
Zn 0.1355 0.3645 0.0000  6 Ni 2.34-2.44, 1 Zn 2.56, 2 Be 2.60
Zn 0.3645 0.8645 0.0000  6 Ni 2.34-2.44, 1 Zn 2.56, 2 Be 2.60
Zn 0.6355 0.1355 0.0000  6 Ni 2.34-2.44, 1 Zn 2.56, 2 Be 2.60
Zn 0.8645 0.6355 0.0000  6 Ni 2.34-2.44, 1 Zn 2.56, 2 Be 2.60
Ni 0.1646 0.6646 0.5000  6 Zn 2.34-2.44
Ni 0.3354 0.1646 0.5000  6 Zn 2.34-2.44
Ni 0.6646 0.8354 0.5000  6 Zn 2.34-2.44
Ni 0.8354 0.3354 0.5000  6 Zn 2.34-2.44

Calculated values
The calculation puts the energy above the most stable polymorph in this dataset at 21.1 kJ/mol of atoms. The value obtained for the total magnetization is 0.0 μB per formula unit. The theoretical density comes out at 6.9 g/cm³. As for the space group: P4/mbm, No. 127. The energy of formation from the pure elements is 0.060 eV/atom.

First-principles (GGA-PBE) data for DyPuAs2 after structural relaxation, as listed in Alexandria via LeMat-Bulk.

Lattice parameters (Å, degrees): 7.3413 7.3413 7.3413 32.48 32.48 32.48
With the nearest neighbours (Å) after each atom.
Fractional coordinates of all 4 atoms:
Dy 0.0000 0.0000 0.0000  6 As 2.93-2.99
Pu 0.1717 0.1717 0.1717  6 As 2.89-2.95
As 0.5840 0.5840 0.5840  3 Pu 2.89, 3 Dy 2.93
As 0.7544 0.7544 0.7544  3 Pu 2.95, 3 Dy 2.99

Calculated values
The calculation puts the energy above the most stable polymorph in this dataset at 14.4 kJ/mol of atoms. The value obtained for the total magnetization is 5.0 μB per formula unit. The theoretical density comes out at 9.1 g/cm³. As for the space group: R3m, No. 160. The energy of formation from the pure elements is -1.128 eV/atom.

First-principles (GGA-PBE) data for Ca5P3H after structural relaxation, as listed in Alexandria via LeMat-Bulk.

Lattice parameters (Å, degrees): 8.2620 8.2620 6.5565 90.00 90.00 120.00
With the nearest neighbours (Å) after each atom.
Fractional coordinates of all 18 atoms:
Ca 0.0000 0.2490 0.2500  2 H 2.63, 2 P 2.83
Ca 0.0000 0.7510 0.7500  2 H 2.63, 2 P 2.83
Ca 0.2490 0.0000 0.2500  2 H 2.63, 2 P 2.83
Ca 0.2490 0.2490 0.7500  2 H 2.63, 2 P 2.83
Ca 0.3333 0.6667 0.0000  6 P 3.03, 2 Ca 3.28
Ca 0.3333 0.6667 0.5000  6 P 3.03, 2 Ca 3.28
Ca 0.6667 0.3333 0.0000  6 P 3.03, 2 Ca 3.28
Ca 0.6667 0.3333 0.5000  6 P 3.03, 2 Ca 3.28
Ca 0.7510 0.0000 0.7500  2 H 2.63, 2 P 2.83
Ca 0.7510 0.7510 0.2500  2 H 2.63, 2 P 2.83
P 0.0000 0.3909 0.7500  7 Ca 2.83-3.03
P 0.0000 0.6091 0.2500  7 Ca 2.83-3.03
P 0.3909 0.0000 0.7500  7 Ca 2.83-3.03
P 0.3909 0.3909 0.2500  7 Ca 2.83-3.03
P 0.6091 0.0000 0.2500  7 Ca 2.83-3.03
P 0.6091 0.6091 0.7500  7 Ca 2.83-3.03
H 0.0000 0.0000 0.0000  6 Ca 2.63
H 0.0000 0.0000 0.5000  6 Ca 2.63

Calculated values
The value obtained for the total magnetization is 0.0 μB per formula unit. The theoretical density comes out at 2.5 g/cm³. The calculated total energy comes out at -78.61 eV per cell. As for the space group: P6_3/mcm, No. 193.

First-principles (GGA-PBE) data for GaTePb3 after structural relaxation, as listed in Alexandria via LeMat-Bulk.

Lattice parameters (Å, degrees): 5.5618 5.5618 5.5618 90.00 90.00 90.00
With the nearest neighbours (Å) after each atom.
Fractional coordinates of all 5 atoms:
Ga 0.0000 0.0000 0.0000  6 Pb 2.78
Te 0.5000 0.5000 0.5000  12 Pb 3.93
Pb 0.0000 0.0000 0.5000  2 Ga 2.78
Pb 0.0000 0.5000 0.0000  2 Ga 2.78
Pb 0.5000 0.0000 0.0000  2 Ga 2.78

Calculated values
The calculation puts the uncorrected formation energy at 0.237 eV per atom. The calculation puts the energy above the most stable polymorph in this dataset at 0.0 kJ/mol of atoms. The value obtained for the total magnetization is 0.0 μB per formula unit. The theoretical density comes out at 7.9 g/cm³. As for the space group: Pm-3m, No. 221.